LaSbAs2 (GGA-PBE, relaxed); total energy = -20.85 eV per cell
1.0
-4.935 2.700 -2.508
-0.572 0.500 -6.112
1.283 -4.256 4.264
Sb As La
1 2 1
Direct
0.247 0.747 0.500 Sb
0.753 0.253 0.500 As
0.001 0.001 0.000 As
0.499 0.499 0.000 La

BiSb2O6 (GGA-PBE, relaxed); total energy = -158.17 eV per cell
1.0
-2.803 -4.159 -0.550
3.196 -3.298 8.639
-8.077 5.504 -0.451
O Sb Bi
18 6 3
Direct
0.228 0.541 0.082 O
0.796 0.746 0.873 O
0.790 0.782 0.218 O
0.772 0.459 0.541 O
0.772 0.082 0.541 O
0.204 0.254 0.127 O
0.210 0.564 0.782 O
0.210 0.218 0.782 O
0.796 0.127 0.873 O
0.228 0.918 0.459 O
0.790 0.436 0.218 O
0.796 0.127 0.254 O
0.228 0.541 0.459 O
0.204 0.873 0.127 O
0.772 0.459 0.918 O
0.210 0.218 0.436 O
0.790 0.782 0.564 O
0.204 0.873 0.746 O
0.000 0.342 0.342 Sb
0.000 0.000 0.658 Sb
0.000 0.658 0.658 Sb
0.000 0.342 0.000 Sb
0.000 0.000 0.342 Sb
0.000 0.658 0.000 Sb
0.000 0.000 0.000 Bi
0.531 0.667 0.333 Bi
0.469 0.333 0.667 Bi

Ga3IBr (GGA-PBE, relaxed); total energy = -11.80 eV per cell
1.0
-3.079 4.864 0.054
-0.628 -0.334 -5.713
-4.824 -3.061 0.709
I Br Ga
1 1 3
Direct
0.500 0.500 0.500 I
0.000 0.000 0.000 Br
0.000 0.000 0.500 Ga
0.000 0.500 0.000 Ga
0.500 0.000 0.000 Ga

ZrNiHg (GGA-PBE, relaxed); calculated formation energy = -0.140 eV/atom
1.0
4.564 0.000 0.000
-2.282 3.952 0.000
0.000 0.000 2.978
Hg Ni Zr
1 1 1
Direct
0.000 0.000 0.167 Hg
0.667 0.333 0.166 Ni
0.333 0.667 0.667 Zr

Co2CuSi (GGA-PBE, relaxed); total energy = -23.81 eV per cell
1.0
-0.473 1.598 -2.036
1.809 -1.277 -1.422
-4.629 -4.138 -2.172
Si Cu Co
1 1 2
Direct
0.500 0.500 0.770 Si
0.000 0.000 0.508 Cu
0.000 0.000 0.986 Co
0.500 0.500 0.236 Co

La2BiF3 (GGA-PBE, relaxed); total energy = -75.44 eV per cell
1.0
4.246 0.000 0.000
-2.123 7.912 0.066
0.000 -3.510 7.471
F Bi La
6 2 4
Direct
0.692 0.383 0.454 F
0.400 0.801 0.349 F
0.308 0.617 0.546 F
0.938 0.876 0.588 F
0.600 0.199 0.651 F
0.062 0.124 0.412 F
0.134 0.269 0.044 Bi
0.866 0.731 0.956 Bi
0.474 0.948 0.749 La
0.202 0.404 0.694 La
0.798 0.596 0.306 La
0.526 0.052 0.251 La

HfBeTe (GGA-PBE, relaxed); total energy = -36.02 eV per cell
1.0
3.769 0.000 0.000
-1.884 3.264 0.000
0.000 0.000 10.092
Be Hf Te
2 2 2
Direct
0.667 0.333 0.497 Be
0.333 0.667 0.503 Be
0.000 0.000 0.332 Hf
0.000 0.000 0.668 Hf
0.333 0.667 0.148 Te
0.667 0.333 0.852 Te

Er3Be2Ge3 (GGA-PBE, relaxed); calculated formation energy = -0.597 eV/atom
1.0
-2.306 2.599 2.013
0.890 -4.695 3.075
11.321 5.765 5.524
Er Be Ge
6 4 6
Direct
0.070 0.140 0.611 Er
0.070 0.140 0.889 Er
0.930 0.860 0.111 Er
0.643 0.286 0.250 Er
0.930 0.860 0.389 Er
0.357 0.714 0.750 Er
0.227 0.454 0.103 Be
0.773 0.546 0.603 Be
0.773 0.546 0.897 Be
0.227 0.454 0.397 Be
0.350 0.700 0.250 Ge
0.361 0.721 0.544 Ge
0.639 0.279 0.044 Ge
0.639 0.279 0.456 Ge
0.361 0.721 0.956 Ge
0.650 0.300 0.750 Ge

Copy entry 1 word for word.
LaSbAs2 (GGA-PBE, relaxed); total energy = -20.85 eV per cell
1.0
-4.935 2.700 -2.508
-0.572 0.500 -6.112
1.283 -4.256 4.264
Sb As La
1 2 1
Direct
0.247 0.747 0.500 Sb
0.753 0.253 0.500 As
0.001 0.001 0.000 As
0.499 0.499 0.000 La

- Which formula does entry 7 have?
  HfBeTe